Material: K2Tl3Te6W
Method: DFT, GGA-PBE
State: optimized geometry

Calculated values
Final energy: -44.7 eV for the cell shown

Cell: 8.6115 8.6115 7.7819 Å, 100.10 100.10 123.56°
With the nearest neighbours (Å) after each atom.
Fractional coordinates of all 12 atoms:
K1 0.3222 0.6778 0.0000  6 Te 3.51-3.54
K2 0.6778 0.3222 0.0000  6 Te 3.51-3.54
Tl1 0.1353 0.8647 0.5000  4 Te 3.11-3.18
Tl2 0.8647 0.1353 0.5000  4 Te 3.11-3.18
Tl3 0.5000 0.5000 0.5000  4 Te 3.18
Te1 0.9181 0.6629 0.7724  1 W 2.75
Te2 0.7801 0.7801 0.2046  1 W 2.80, 2 Tl 3.11
Te3 0.0819 0.3371 0.2276  1 W 2.75
Te4 0.6629 0.9181 0.7724  1 W 2.75
Te5 0.2199 0.2199 0.7954  1 W 2.80, 2 Tl 3.11
Te6 0.3371 0.0819 0.2276  1 W 2.75
W1 0.0000 0.0000 0.0000  6 Te 2.75-2.80


Material: Na5MgPb6
Method: DFT, GGA-PBE
State: optimized geometry

Calculated values
Calculated formation energy: -0.135 eV per atom

Cell: 4.8879 9.5908 7.5933 Å, 90.00 71.22 90.00°
With the nearest neighbours (Å) after each atom.
Fractional coordinates of all 12 atoms:
Pb1 0.8349 0.7567 0.3302  1 Mg 3.33, 7 Na 3.36-3.47, 4 Pb 3.41-3.45
Pb2 0.8349 0.2433 0.3302  1 Mg 3.33, 7 Na 3.36-3.47, 4 Pb 3.41-3.45
Pb3 0.5000 0.2398 0.0000  6 Na 3.33-3.49, 2 Mg 3.36, 4 Pb 3.41
Pb4 0.5000 0.7602 0.0000  6 Na 3.33-3.49, 2 Mg 3.36, 4 Pb 3.41
Pb5 0.1651 0.7567 0.6698  1 Mg 3.33, 7 Na 3.36-3.47, 4 Pb 3.41-3.45
Pb6 0.1651 0.2433 0.6698  1 Mg 3.33, 7 Na 3.36-3.47, 4 Pb 3.41-3.45
Na1 0.6661 0.5000 0.6678  4 Na 3.42-3.43, 8 Pb 3.45-3.47
Na2 0.3328 0.0000 0.3343  8 Pb 3.33-3.38, 2 Na 3.41, 2 Mg 3.43
Na3 0.0000 0.5000 0.0000  4 Na 3.42, 8 Pb 3.42-3.49
Na4 0.6672 0.0000 0.6657  8 Pb 3.33-3.38, 2 Na 3.41, 2 Mg 3.43
Na5 0.3339 0.5000 0.3322  4 Na 3.42-3.43, 8 Pb 3.45-3.47
Mg1 0.0000 0.0000 0.0000  8 Pb 3.33-3.36, 4 Na 3.43


Material: PdRuF2
Method: DFT, GGA-PBE
State: optimized geometry

Calculated values
Final energy: -20.5 eV for the cell shown

Cell: 8.2054 8.2054 8.2054 Å, 19.02 19.02 19.02°
With the nearest neighbours (Å) after each atom.
Fractional coordinates of all 4 atoms:
Ru1 0.0000 0.0000 0.0000  2 F 1.95
Pd1 0.5000 0.5000 0.5000  6 F 2.60, 6 Pd 2.71
F1 0.9192 0.9192 0.9192  1 Ru 1.95
F2 0.0808 0.0808 0.0808  1 Ru 1.95


Material: K2ScSnAs3O12
Method: DFT, GGA-PBE
State: optimized geometry

Calculated values
Final energy: -479.6 eV for the cell shown

Cell: 10.5255 10.5255 10.5255 Å, 90.00 90.00 90.00°
With the nearest neighbours (Å) after each atom.
Fractional coordinates of all 76 atoms:
K1 0.8144 0.8144 0.8144  9 O 2.90-3.07
K2 0.6856 0.1856 0.3144  9 O 2.90-3.07
K3 0.1856 0.3144 0.6856  9 O 2.90-3.07
K4 0.3144 0.6856 0.1856  9 O 2.90-3.07
K5 0.0465 0.0465 0.0465  6 O 2.95-3.07
K6 0.4535 0.9535 0.5465  6 O 2.95-3.07
K7 0.9535 0.5465 0.4535  6 O 2.95-3.07
K8 0.5465 0.4535 0.9535  6 O 2.95-3.07
Sc1 0.6114 0.6114 0.6114  6 O 2.12
Sc2 0.8886 0.3886 0.1114  6 O 2.12
Sc3 0.3886 0.1114 0.8886  6 O 2.12
Sc4 0.1114 0.8886 0.3886  6 O 2.12
Sn1 0.3403 0.3403 0.3403  6 O 2.06-2.08
Sn2 0.1597 0.6597 0.8403  6 O 2.06-2.08
Sn3 0.6597 0.8403 0.1597  6 O 2.06-2.08
Sn4 0.8403 0.1597 0.6597  6 O 2.06-2.08
As1 0.0315 0.2057 0.3813  4 O 1.70-1.74
As2 0.4685 0.7943 0.8813  4 O 1.70-1.74
As3 0.9685 0.7057 0.1187  4 O 1.70-1.74
As4 0.3813 0.0315 0.2057  4 O 1.70-1.74
As5 0.5315 0.2943 0.6187  4 O 1.70-1.74
As6 0.8813 0.4685 0.7943  4 O 1.70-1.74
As7 0.1187 0.9685 0.7057  4 O 1.70-1.74
As8 0.6187 0.5315 0.2943  4 O 1.70-1.74
As9 0.2057 0.3813 0.0315  4 O 1.70-1.74
As10 0.7057 0.1187 0.9685  4 O 1.70-1.74
As11 0.2943 0.6187 0.5315  4 O 1.70-1.74
As12 0.7943 0.8813 0.4685  4 O 1.70-1.74
O1 0.0514 0.8077 0.2137  1 As 1.71
O2 0.4486 0.1923 0.7137  1 As 1.71
O3 0.9486 0.3077 0.2863  1 As 1.71
O4 0.2137 0.0514 0.8077  1 As 1.71
O5 0.5514 0.6923 0.7863  1 As 1.71
O6 0.7137 0.4486 0.1923  1 As 1.71
O7 0.2863 0.9486 0.3077  1 As 1.71
O8 0.7863 0.5514 0.6923  1 As 1.71
O9 0.8077 0.2137 0.0514  1 As 1.71
O10 0.3077 0.2863 0.9486  1 As 1.71
O11 0.6923 0.7863 0.5514  1 As 1.71
O12 0.1923 0.7137 0.4486  1 As 1.71
O13 0.1907 0.2344 0.4078  1 As 1.72
O14 0.3093 0.7656 0.9078  1 As 1.72
O15 0.8093 0.7344 0.0922  1 As 1.72
O16 0.4078 0.1907 0.2344  1 As 1.72
O17 0.6907 0.2656 0.5922  1 As 1.72
O18 0.9078 0.3093 0.7656  1 As 1.72
O19 0.0922 0.8093 0.7344  1 As 1.72
O20 0.5922 0.6907 0.2656  1 As 1.72
O21 0.2344 0.4078 0.1907  1 As 1.72
O22 0.7344 0.0922 0.8093  1 As 1.72
O23 0.2656 0.5922 0.6907  1 As 1.72
O24 0.7656 0.9078 0.3093  1 As 1.72
O25 0.0170 0.0548 0.3250  1 As 1.70
O26 0.4830 0.9452 0.8250  1 As 1.70
O27 0.9830 0.5548 0.1750  1 As 1.70
O28 0.3250 0.0170 0.0548  1 As 1.70
O29 0.5170 0.4452 0.6750  1 As 1.70
O30 0.8250 0.4830 0.9452  1 As 1.70
O31 0.1750 0.9830 0.5548  1 As 1.70
O32 0.6750 0.5170 0.4452  1 As 1.70
O33 0.0548 0.3250 0.0170  1 As 1.70
O34 0.5548 0.1750 0.9830  1 As 1.70
O35 0.4452 0.6750 0.5170  1 As 1.70
O36 0.9452 0.8250 0.4830  1 As 1.70
O37 0.2659 0.4677 0.4713  1 As 1.74
O38 0.2341 0.5323 0.9713  1 As 1.74
O39 0.7341 0.9677 0.0287  1 As 1.74
O40 0.4713 0.2659 0.4677  1 As 1.74
O41 0.7659 0.0323 0.5287  1 As 1.74
O42 0.9713 0.2341 0.5323  1 As 1.74
O43 0.0287 0.7341 0.9677  1 As 1.74
O44 0.5287 0.7659 0.0323  1 As 1.74
O45 0.4677 0.4713 0.2659  1 As 1.74
O46 0.9677 0.0287 0.7341  1 As 1.74
O47 0.0323 0.5287 0.7659  1 As 1.74
O48 0.5323 0.9713 0.2341  1 As 1.74


Material: PmPuPb
Method: DFT, GGA-PBE
State: optimized geometry

Calculated values
Calculated formation energy: -0.309 eV per atom

Cell: 5.6162 5.6162 6.4554 Å, 90.00 90.00 120.01°
With the nearest neighbours (Å) after each atom.
Fractional coordinates of all 6 atoms:
Pm1 0.3332 0.1668 0.7500  5 Pb 3.23-3.24
Pm2 0.6668 0.8332 0.2500  5 Pb 3.23-3.24
Pu1 0.0000 0.5000 0.0000  2 Pu 3.23
Pu2 0.0000 0.5000 0.5000  2 Pu 3.23
Pb1 0.6666 0.8334 0.7500  5 Pm 3.23-3.24
Pb2 0.3334 0.1666 0.2500  5 Pm 3.23-3.24


Material: SrLiGaAu6
Method: DFT, GGA-PBE
State: optimized geometry

Calculated values
Calculated formation energy: -0.243 eV per atom

Cell: 6.1237 9.2530 9.1582 Å, 120.34 109.53 90.00°
With the nearest neighbours (Å) after each atom.
Fractional coordinates of all 18 atoms:
Sr1 0.9141 0.6641 0.8283  7 Au 2.98-3.29
Sr2 0.0859 0.3359 0.1717  7 Au 2.98-3.29
Li1 0.5000 0.0000 0.5000  6 Au 2.45-2.62
Li2 0.0000 0.0000 0.5000  6 Au 2.45-2.62
Ga1 0.5000 0.5000 0.0000  4 Au 2.62
Ga2 0.5000 0.0000 0.0000  4 Au 2.62
Au1 0.3321 0.5821 0.6641  4 Au 2.85
Au2 0.8817 0.1317 0.7633  2 Li 2.45
Au3 0.8849 0.1357 0.3008  1 Li 2.62, 1 Ga 2.62, 4 Au 2.76-2.91
Au4 0.4159 0.6651 0.3008  1 Li 2.62, 1 Ga 2.62, 4 Au 2.76-2.91
Au5 0.4159 0.1357 0.3008  1 Li 2.62, 1 Ga 2.62, 4 Au 2.76-2.91
Au6 0.8849 0.6651 0.3008  1 Li 2.62, 1 Ga 2.62, 4 Au 2.76-2.91
Au7 0.6679 0.4179 0.3359  4 Au 2.85
Au8 0.1183 0.8683 0.2367  2 Li 2.45
Au9 0.1151 0.8643 0.6992  1 Li 2.62, 1 Ga 2.62, 4 Au 2.76-2.91
Au10 0.5841 0.3349 0.6992  1 Li 2.62, 1 Ga 2.62, 4 Au 2.76-2.91
Au11 0.5841 0.8643 0.6992  1 Li 2.62, 1 Ga 2.62, 4 Au 2.76-2.91
Au12 0.1151 0.3349 0.6992  1 Li 2.62, 1 Ga 2.62, 4 Au 2.76-2.91


Material: TlTeIr2
Method: DFT, GGA-PBE
State: optimized geometry

Calculated values
Final energy: -20.6 eV for the cell shown

Cell: 5.6529 5.6529 5.6529 Å, 139.16 139.16 59.12°
With the nearest neighbours (Å) after each atom.
Fractional coordinates of all 4 atoms:
Ir1 0.0000 0.0000 0.0000  4 Te 2.79
Ir2 0.2500 0.7500 0.5000  4 Tl 2.79
Te1 0.5000 0.5000 0.0000  4 Ir 2.79
Tl1 0.7500 0.2500 0.5000  4 Ir 2.79


Material: TaInMo
Method: DFT, GGA-PBE
State: optimized geometry

Calculated values
Calculated formation energy: 0.168 eV per atom

Cell: 4.6852 4.6852 2.8811 Å, 90.00 90.00 120.00°
With the nearest neighbours (Å) after each atom.
Fractional coordinates of all 3 atoms:
In1 0.0000 0.0000 0.0098  2 In 2.88, 3 Mo 2.90, 3 Ta 2.93
Mo1 0.6667 0.3333 0.3691  3 Ta 2.80, 2 Mo 2.88, 3 In 2.90
Ta1 0.3333 0.6667 0.6211  3 Mo 2.80, 2 Ta 2.88, 3 In 2.93


Material: Cu2SbOs
Method: DFT, GGA-PBE
State: optimized geometry

Calculated values
Final energy: -22.0 eV for the cell shown

Cell: 4.4019 4.4019 4.4019 Å, 60.00 60.00 60.00°
With the nearest neighbours (Å) after each atom.
Fractional coordinates of all 4 atoms:
Cu1 0.0000 0.0000 0.0000  4 Cu 2.70, 4 Sb 2.70
Cu2 0.7500 0.7500 0.7500  4 Os 2.70, 4 Cu 2.70
Os1 0.5000 0.5000 0.5000  4 Sb 2.70, 4 Cu 2.70
Sb1 0.2500 0.2500 0.2500  4 Cu 2.70, 4 Os 2.70


Material: DyZn6CuAg
Method: DFT, GGA-PBE
State: optimized geometry

Calculated values
Calculated formation energy: 0.017 eV per atom

Cell: 6.9792 8.8660 7.7616 Å, 124.83 116.72 90.00°
With the nearest neighbours (Å) after each atom.
Fractional coordinates of all 18 atoms:
Dy1 0.7039 0.4539 0.4078  10 Zn 2.94-3.28, 2 Cu 3.10
Dy2 0.2961 0.5461 0.5922  10 Zn 2.94-3.28, 2 Cu 3.10
Zn1 0.5715 0.8215 0.1430  2 Cu 2.34, 2 Ag 2.58
Zn2 0.9881 0.2381 0.9762  8 Zn 2.88-2.96, 2 Ag 3.08
Zn3 0.9325 0.1399 0.2498  1 Cu 2.53, 3 Zn 2.68-2.79, 1 Ag 2.73
Zn4 0.3173 0.6099 0.2498  1 Cu 2.53, 3 Zn 2.68-2.79, 1 Ag 2.73
Zn5 0.3173 0.1399 0.2498  1 Cu 2.53, 3 Zn 2.68-2.79, 1 Ag 2.73
Zn6 0.9325 0.6099 0.2498  1 Cu 2.53, 3 Zn 2.68-2.79, 1 Ag 2.73
Zn7 0.4285 0.1785 0.8570  2 Cu 2.34, 2 Ag 2.58
Zn8 0.0119 0.7619 0.0238  8 Zn 2.88-2.96, 2 Ag 3.08
Zn9 0.0675 0.8601 0.7502  1 Cu 2.53, 3 Zn 2.68-2.79, 1 Ag 2.73
Zn10 0.6827 0.3901 0.7502  1 Cu 2.53, 3 Zn 2.68-2.79, 1 Ag 2.73
Zn11 0.6827 0.8601 0.7502  1 Cu 2.53, 3 Zn 2.68-2.79, 1 Ag 2.73
Zn12 0.0675 0.3901 0.7502  1 Cu 2.53, 3 Zn 2.68-2.79, 1 Ag 2.73
Cu1 0.5000 0.5000 0.0000  6 Zn 2.34-2.53
Cu2 0.5000 0.0000 0.0000  6 Zn 2.34-2.53
Ag1 0.5000 0.0000 0.5000  6 Zn 2.58-2.73
Ag2 0.0000 0.0000 0.5000  6 Zn 2.58-2.73


Material: Na2Ga2Pt
Method: DFT, GGA-PBE
State: optimized geometry

Calculated values
Calculated formation energy: -0.313 eV per atom

Cell: 4.2843 4.2843 9.0011 Å, 76.23 76.23 60.00°
With the nearest neighbours (Å) after each atom.
Fractional coordinates of all 5 atoms:
Na1 0.4312 0.4312 0.7064  4 Ga 3.10-3.21
Na2 0.5688 0.5688 0.2936  4 Ga 3.10-3.21
Ga1 0.6925 0.6925 0.9226  3 Pt 2.56, 3 Ga 2.81
Ga2 0.3075 0.3075 0.0774  3 Pt 2.56, 3 Ga 2.81
Pt1 0.0000 0.0000 0.0000  6 Ga 2.56


Material: Nb3BAu
Method: DFT, GGA-PBE
State: optimized geometry

Calculated values
Calculated formation energy: -0.089 eV per atom

Cell: 4.3660 4.3660 4.3660 Å, 90.00 90.00 90.00°
With the nearest neighbours (Å) after each atom.
Fractional coordinates of all 5 atoms:
Nb1 0.0000 0.5000 0.0000  2 B 2.18
Nb2 0.0000 0.0000 0.5000  2 B 2.18
Nb3 0.5000 0.0000 0.0000  2 B 2.18
B1 0.0000 0.0000 0.0000  6 Nb 2.18
Au1 0.5000 0.5000 0.5000  12 Nb 3.09


| no. | DOS(E_F) (states/eV per cell) | calculated density (kg/m³) | V (Å³/atom) |
| --- | --- | --- | --- |
| 1 | 2.4 | 6101 | 37.22 |
| 2 | 4.3 | 6811 | 28.09 |
| 3 | 4.6 | 7950 | 12.82 |
| 4 | 0.0 | 3752 | 15.34 |
| 5 | 14.2 | 11230 | 29.39 |
| 6 | 4.7 | 10828 | 22.94 |
| 7 | 3.1 | 15553 | 19.12 |
| 8 | 1.2 | 11876 | 18.26 |
| 9 | 2.6 | 12089 | 15.08 |
| 10 | 7.8 | 7314 | 18.32 |
| 11 | 1.6 | 4593 | 27.52 |
| 12 | 7.3 | 9707 | 16.64 |